An optimized crystal structure of La2FeAg, computed with PBE.

Cell lengths 3.5090, 3.5090, 8.4393 Å; angles 90.00, 90.00, 90.00 degrees
With the nearest neighbours (Å) after each atom.
Fractional coordinates of all 4 atoms:
La 0.0000 0.0000 0.0000  4 Fe 3.15, 1 Ag 3.16, 4 La 3.51
La 0.5000 0.5000 0.3765  4 Ag 3.25, 1 Fe 3.32, 4 La 3.51
Fe 0.5000 0.5000 0.7705  4 Ag 2.77
Ag 0.0000 0.0000 0.6253  4 Fe 2.77

V = 103.9 Å³/cell
Energy of formation = 0.207 eV/atom



An optimized crystal structure of BeTlCl2, computed with PBE.

Cell lengths 7.7105, 7.7371, 3.7706 Å; angles 90.00, 109.66, 90.00 degrees
With the nearest neighbours (Å) after each atom.
Fractional coordinates of all 8 atoms:
Be 0.0000 0.0000 0.0000  4 Cl 2.93
Be 0.5000 0.5000 0.0000  4 Cl 2.93
Tl 0.0000 0.5000 0.0000  4 Cl 2.93
Tl 0.5000 0.0000 0.0000  4 Cl 2.93
Cl 0.2500 0.2500 0.5000  2 Tl 2.93, 2 Be 2.93
Cl 0.2500 0.7500 0.5000  2 Tl 2.93, 2 Be 2.93
Cl 0.7500 0.2500 0.5000  2 Tl 2.93, 2 Be 2.93
Cl 0.7500 0.7500 0.5000  2 Be 2.93, 2 Tl 2.93

Excess energy over the best structure of this formula in the dataset = 809 meV per atom
V = 211.8 Å³/cell
Formation energy from raw total energies = 0.042 eV per atom



An optimized crystal structure of MnFeNiRu, computed with PBE.

Cell lengths 5.9100, 5.9100, 5.9100 Å; angles 90.00, 90.00, 90.00 degrees
With the nearest neighbours (Å) after each atom.
Fractional coordinates of all 16 atoms:
Mn 0.0000 0.0000 0.0000  4 Ru 2.56, 4 Ni 2.56
Mn 0.0000 0.5000 0.5000  4 Ru 2.56, 4 Ni 2.56
Mn 0.5000 0.0000 0.5000  4 Ru 2.56, 4 Ni 2.56
Mn 0.5000 0.5000 0.0000  4 Ru 2.56, 4 Ni 2.56
Fe 0.0000 0.0000 0.5000  4 Ru 2.56, 4 Ni 2.56
Fe 0.0000 0.5000 0.0000  4 Ru 2.56, 4 Ni 2.56
Fe 0.5000 0.0000 0.0000  4 Ru 2.56, 4 Ni 2.56
Fe 0.5000 0.5000 0.5000  4 Ni 2.56, 4 Ru 2.56
Ni 0.2500 0.2500 0.2500  4 Mn 2.56, 4 Fe 2.56
Ni 0.2500 0.7500 0.7500  4 Mn 2.56, 4 Fe 2.56
Ni 0.7500 0.2500 0.7500  4 Mn 2.56, 4 Fe 2.56
Ni 0.7500 0.7500 0.2500  4 Mn 2.56, 4 Fe 2.56
Ru 0.2500 0.2500 0.7500  4 Mn 2.56, 4 Fe 2.56
Ru 0.2500 0.7500 0.2500  4 Mn 2.56, 4 Fe 2.56
Ru 0.7500 0.2500 0.2500  4 Mn 2.56, 4 Fe 2.56
Ru 0.7500 0.7500 0.7500  4 Mn 2.56, 4 Fe 2.56

V = 206.4 Å³/cell
Energy of formation = 0.126 eV/atom



An optimized crystal structure of TbSmTc2O8, computed with PBE.

Cell lengths 6.7766, 6.7766, 6.7766 Å; angles 134.45, 134.45, 66.39 degrees
With the nearest neighbours (Å) after each atom.
Fractional coordinates of all 12 atoms:
Tb 0.0000 0.0000 0.0000  8 O 2.37-2.41
Sm 0.7500 0.2500 0.5000  8 O 2.40-2.44
Tc 0.2500 0.7500 0.5000  4 O 1.87
Tc 0.5000 0.5000 0.0000  4 O 1.86
O 0.0849 0.6735 0.0836  1 Tc 1.87
O 0.1630 0.2448 0.5785  1 Tc 1.86
O 0.3265 0.4100 0.4114  1 Tc 1.87
O 0.4156 0.8370 0.0818  1 Tc 1.86
O 0.5900 0.0013 0.9164  1 Tc 1.87
O 0.6662 0.5844 0.4215  1 Tc 1.86
O 0.7552 0.3338 0.9182  1 Tc 1.86
O 0.9987 0.9151 0.5886  1 Tc 1.87

V = 156.1 Å³/cell
Formation energy from raw total energies = -2.238 eV per atom



An optimized crystal structure of MnZn2Os, computed with PBE.

Cell lengths 2.8193, 4.5140, 8.8640 Å; angles 90.00, 90.00, 90.00 degrees
With the nearest neighbours (Å) after each atom.
Fractional coordinates of all 8 atoms:
Mn 0.0000 0.0000 0.0000  4 Zn 2.59, 6 Mn 2.66-2.82
Mn 0.5000 0.5000 0.0000  4 Zn 2.59, 6 Mn 2.66-2.82
Zn 0.0000 0.5000 0.2450  2 Mn 2.59, 6 Zn 2.66-2.82, 2 Os 2.66
Zn 0.0000 0.5000 0.7550  2 Mn 2.59, 6 Zn 2.66-2.82, 2 Os 2.66
Zn 0.5000 0.0000 0.2450  2 Mn 2.59, 6 Zn 2.66-2.82, 2 Os 2.66
Zn 0.5000 0.0000 0.7550  2 Mn 2.59, 6 Zn 2.66-2.82, 2 Os 2.66
Os 0.0000 0.0000 0.5000  6 Os 2.66-2.82, 4 Zn 2.66
Os 0.5000 0.5000 0.5000  6 Os 2.66-2.82, 4 Zn 2.66

Excess energy over the best structure of this formula in the dataset = 207 meV per atom
V = 112.8 Å³/cell
Energy of formation = 0.239 eV/atom



An optimized crystal structure of Dy2Y7Th, computed with PBE.

Cell lengths 9.3594, 9.3594, 5.4498 Å; angles 90.00, 90.00, 123.93 degrees
With the nearest neighbours (Å) after each atom.
Fractional coordinates of all 10 atoms:
Dy 0.2018 0.7982 0.0000  7 Y 3.12-3.45
Dy 0.7982 0.2018 0.0000  7 Y 3.12-3.45
Y 0.0000 0.0000 0.0000  2 Dy 3.33, 4 Y 3.39
Y 0.2114 0.4352 0.0000  2 Y 3.11-3.39, 2 Dy 3.21-3.45
Y 0.2936 0.7064 0.5000  2 Dy 3.12, 1 Th 3.41
Y 0.4352 0.2114 0.0000  2 Y 3.11-3.39, 2 Dy 3.21-3.45
Y 0.5648 0.7886 0.0000  2 Y 3.11-3.39, 2 Dy 3.21-3.45
Y 0.7064 0.2936 0.5000  2 Dy 3.12, 1 Th 3.41
Y 0.7886 0.5648 0.0000  2 Y 3.11-3.39, 2 Dy 3.21-3.45
Th 0.5000 0.5000 0.5000  10 Y 3.41-3.64

Excess energy over the best structure of this formula in the dataset = 702 meV per atom
V = 396.1 Å³/cell
Energy of formation = 0.733 eV/atom



An optimized crystal structure of TbPuHg2, computed with PBE.

Cell lengths 5.3480, 5.3480, 3.6973 Å; angles 90.00, 90.00, 90.00 degrees
With the nearest neighbours (Å) after each atom.
Fractional coordinates of all 4 atoms:
Tb 0.0000 0.0000 0.0000  8 Hg 3.25
Pu 0.5000 0.5000 0.0000  8 Hg 3.25
Hg 0.0000 0.5000 0.5000  4 Tb 3.25, 4 Pu 3.25
Hg 0.5000 0.0000 0.5000  4 Tb 3.25, 4 Pu 3.25

Excess energy over the best structure of this formula in the dataset = 0 meV per atom
V = 105.7 Å³/cell
Energy of formation = -0.286 eV/atom



An optimized crystal structure of MgPaGeRu, computed with PBE.

Cell lengths 6.7438, 6.7438, 6.7438 Å; angles 90.00, 90.00, 90.00 degrees
With the nearest neighbours (Å) after each atom.
Fractional coordinates of all 16 atoms:
Mg 0.0000 0.0000 0.0000  4 Ge 2.92, 4 Ru 2.92
Mg 0.0000 0.5000 0.5000  4 Ge 2.92, 4 Ru 2.92
Mg 0.5000 0.0000 0.5000  4 Ge 2.92, 4 Ru 2.92
Mg 0.5000 0.5000 0.0000  4 Ge 2.92, 4 Ru 2.92
Pa 0.0000 0.0000 0.5000  4 Ru 2.92, 4 Ge 2.92
Pa 0.0000 0.5000 0.0000  4 Ru 2.92, 4 Ge 2.92
Pa 0.5000 0.0000 0.0000  4 Ru 2.92, 4 Ge 2.92
Pa 0.5000 0.5000 0.5000  4 Ru 2.92, 4 Ge 2.92
Ge 0.2500 0.2500 0.2500  4 Pa 2.92, 4 Mg 2.92
Ge 0.2500 0.7500 0.7500  4 Pa 2.92, 4 Mg 2.92
Ge 0.7500 0.2500 0.7500  4 Pa 2.92, 4 Mg 2.92
Ge 0.7500 0.7500 0.2500  4 Pa 2.92, 4 Mg 2.92
Ru 0.2500 0.2500 0.7500  4 Mg 2.92, 4 Pa 2.92
Ru 0.2500 0.7500 0.2500  4 Pa 2.92, 4 Mg 2.92
Ru 0.7500 0.2500 0.2500  4 Pa 2.92, 4 Mg 2.92
Ru 0.7500 0.7500 0.7500  4 Pa 2.92, 4 Mg 2.92

V = 306.7 Å³/cell
Energy of formation = -0.197 eV/atom